(1)
Density functional theory data (PBE) for an optimized crystal structure of Zr5Cd2In.

abc: 4.424 4.424 9.566
angles: 103.37 103.37 90.00
Positions (direct):
Zr 0.500 0.500 0.000
Zr 0.875 0.375 0.751
Zr 0.375 0.875 0.751
Zr 0.125 0.625 0.249
Zr 0.625 0.125 0.249
Cd 0.750 0.750 0.501
Cd 0.250 0.250 0.499
In 0.000 0.000 0.000

## Properties
The crystal system is tetragonal. The energy relative to the elements is -0.189 eV per atom. As for the distance to the lowest polymorph of the same formula: 0.00 eV per formula unit.


(2)
Density functional theory data (PBE) for an optimized crystal structure of GaNO2F.

abc: 3.678 3.678 3.525
angles: 90.00 90.00 90.00
Site moments in Bohr magnetons follow the coordinates.
Positions (direct):
N 0.000 0.000 0.000  0.21
O 0.000 0.500 0.000  0.00
O 0.500 0.000 0.000  0.00
Ga 0.500 0.500 0.500  0.01
F 0.000 0.000 0.500  0.00

## Properties
The crystal system is tetragonal. The raw formation energy comes out at 0.60 eV/atom.


(3)
Density functional theory data (PBE) for an optimized crystal structure of LaTa4S8.

abc: 6.810 6.810 8.050
angles: 90.00 115.03 120.00
Positions (direct):
La 0.000 0.500 0.500
Ta 0.000 0.000 0.000
Ta 0.000 0.500 0.000
Ta 0.500 0.500 0.000
Ta 0.500 0.000 0.000
S 0.479 0.739 0.218
S 0.521 0.261 0.782
S 0.471 0.236 0.221
S 0.015 0.251 0.779
S 0.529 0.764 0.779
S 0.015 0.764 0.779
S 0.985 0.236 0.221
S 0.985 0.749 0.221

## Properties
The crystal system is trigonal. The raw formation energy comes out at -1.20 eV/atom.